Below is crystalline InWF6 at its relaxed geometry, with properties calculated at the GGA+U level.

Lattice parameters (Å, degrees): 6.9040 8.0316 5.3139 90.00 97.85 90.00
Space group C2/m (No. 12)
Symmetry-distinct sites (fractional):
In1 0.0000 0.0000 0.0000 [2 per cell]
W1 0.0000 0.5000 0.5000 [2 per cell]
F1 0.0896 0.3357 0.7555 [8 per cell]
F2 0.2380 0.0000 0.6042 [4 per cell]

## Properties
Its energy is -5.14 eV per atom.